First-principles (PBE-GGA) data for crystalline Tb2Ag2Pt at its relaxed geometry, as listed in Alexandria.

a = 4.5288 Å, b = 4.5288 Å, c = 19.9532 Å
α = 90.00°, β = 90.00°, γ = 120.00°
Closest atoms and distances in Å follow each position.
Space group R-3m (No. 166, hexagonal axes)
Symmetry-distinct sites (fractional):
Tb (0.0000, 0.0000, 0.0987) [6 per cell]  3 Pt 2.95, 3 Ag 3.08
Ag (0.0000, 0.0000, 0.3501) [6 per cell]  3 Ag 2.70, 1 Pt 2.99
Pt (0.0000, 0.0000, 0.5000) [3 per cell]  6 Tb 2.95, 2 Ag 2.99

Values from the calculation:
energy above the lowest structure with this stoichiometry: 0 meV per atom
energy of formation from the pure elements: -0.601 eV per atom
energy: -4.8019 eV/atom


First-principles (PBE-GGA) data for crystalline RbGaPd at its relaxed geometry, as listed in Alexandria.

a = 4.3115 Å, b = 4.3115 Å, c = 5.5847 Å
α = 90.00°, β = 90.00°, γ = 120.00°
Closest atoms and distances in Å follow each position.
Space group P-6m2 (No. 187)
Symmetry-distinct sites (fractional):
Rb (0.0000, 0.0000, 0.0000) [1 per cell]  6 Ga 3.74, 6 Pd 3.74
Ga (0.6667, 0.3333, 0.5000) [1 per cell]  3 Pd 2.49
Pd (0.3333, 0.6667, 0.5000) [1 per cell]  3 Ga 2.49

Values from the calculation:
energy of formation from the pure elements: -0.215 eV per atom
energy: -3.2773 eV/atom


First-principles (PBE-GGA) data for crystalline Sc4InPd2Ru at its relaxed geometry, as listed in Alexandria.

a = 4.7306 Å, b = 4.7306 Å, c = 23.3279 Å
α = 90.00°, β = 90.00°, γ = 120.00°
Closest atoms and distances in Å follow each position.
Space group R-3m (No. 166, hexagonal axes)
Symmetry-distinct sites (fractional):
Sc (0.0000, 0.0000, 0.1150) [6 per cell]  1 Ru 2.68, 3 Pd 2.82, 3 In 2.99
Sc (0.0000, 0.0000, 0.3680) [6 per cell]  4 Pd 2.80-2.97, 3 Ru 2.85, 1 In 3.08
In (0.0000, 0.0000, 0.5000) [3 per cell]  8 Sc 2.99-3.08, 6 Pd 3.33
Pd (0.0000, 0.0000, 0.2482) [6 per cell]  8 Sc 2.80-3.11
Ru (0.0000, 0.0000, 0.0000) [3 per cell]  8 Sc 2.68-2.85

Values from the calculation:
energy of formation from the pure elements: -0.704 eV per atom
energy: -6.6699 eV/atom


First-principles (PBE-GGA) data for crystalline PrDy3Tm3 at its relaxed geometry, as listed in Alexandria.

a = 9.5383 Å, b = 9.5383 Å, c = 5.6462 Å
α = 90.00°, β = 90.00°, γ = 120.00°
Closest atoms and distances in Å follow each position.
Space group P6_3/m (No. 176)
Symmetry-distinct sites (fractional):
Pr (0.3333, 0.6667, 0.2500) [2 per cell]  9 Tm 3.50-3.61, 3 Dy 3.61
Dy (0.0488, 0.2376, 0.2500) [6 per cell]  6 Dy 3.50-3.59, 5 Tm 3.51-3.62, 1 Pr 3.61
Tm (0.0960, 0.4767, 0.7500) [6 per cell]  3 Pr 3.50-3.61, 4 Tm 3.51-3.59, 5 Dy 3.51-3.62

Values from the calculation:
energy above the lowest structure with this stoichiometry: 0 meV per atom
energy of formation from the pure elements: 0.011 eV per atom
energy: -4.5605 eV/atom


First-principles (PBE-GGA) data for crystalline Ac2TmSn at its relaxed geometry, as listed in Alexandria.

a = 9.0350 Å, b = 10.9331 Å, c = 11.4849 Å
α = 90.00°, β = 90.00°, γ = 90.00°
Closest atoms and distances in Å follow each position.
Space group Fmmm (No. 69)
Symmetry-distinct sites (fractional):
Ac (0.1973, 0.0000, 0.0000) [8 per cell]  4 Tm 3.52-3.71, 1 Ac 3.56, 4 Sn 3.61-3.83
Ac (0.2500, 0.2500, 0.2500) [8 per cell]  4 Sn 3.58, 4 Tm 3.69, 4 Ac 3.99
Tm (0.0000, 0.2026, 0.5000) [8 per cell]  2 Sn 3.23, 2 Ac 3.52
Sn (0.0000, 0.0000, 0.2952) [8 per cell]  2 Tm 3.23, 6 Ac 3.58-3.61

Values from the calculation:
energy above the lowest structure with this stoichiometry: 0 meV per atom
energy of formation from the pure elements: -0.336 eV per atom
energy: -4.5088 eV/atom


First-principles (PBE-GGA) data for crystalline LiTcAs at its relaxed geometry, as listed in Alexandria.

a = 3.9407 Å, b = 3.9407 Å, c = 6.4696 Å
α = 90.00°, β = 90.00°, γ = 90.00°
Closest atoms and distances in Å follow each position.
Space group P4/nmm (No. 129, origin choice 2)
Symmetry-distinct sites (fractional):
Li (0.2500, 0.2500, 0.1595) [2 per cell]  5 As 2.68-2.85, 4 Tc 2.96
Tc (0.2500, 0.7500, 0.5000) [2 per cell]  4 As 2.53, 4 Tc 2.79
As (0.2500, 0.2500, 0.7460) [2 per cell]  4 Tc 2.53, 1 Li 2.68

Values from the calculation:
energy above the lowest structure with this stoichiometry: 0 meV per atom
energy of formation from the pure elements: -0.393 eV per atom
energy: -6.0365 eV/atom


energy of number 3 (Sc4InPd2Ru)?
-6.6699 eV/atom


The highest energy of formation from the pure elements belongs to which entry?
PrDy3Tm3


Which of these has the lowest energy of formation from the pure elements?
Sc4InPd2Ru